Entry 1:
Entry from Alexandria via LeMat-Bulk: a relaxed Sc2TcAs crystal (PBE).

M_tot = 0.0 Bohr magnetons per cell
energy relative to the elements = -0.63 eV per atom
DFT total energy = -60.4 eV for the cell shown

```
data_Sc2TcAs
_symmetry_space_group_name_H-M 'A m m 2'
_symmetry_Int_Tables_number 38
_cell_length_a 4.098
_cell_length_b 3.616
_cell_length_c 10.084
_cell_angle_alpha 90.00
_cell_angle_beta 90.00
_cell_angle_gamma 90.00
loop_
_symmetry_equiv_pos_as_xyz
'x,y,z'
'-x,-y,z'
'-x,y,z'
'x,-y,z'
'x,y+1/2,z+1/2'
'-x,-y+1/2,z+1/2'
'-x,y+1/2,z+1/2'
'x,-y+1/2,z+1/2'
loop_
_atom_site_label
_atom_site_fract_x
_atom_site_fract_y
_atom_site_fract_z
Sc1 0.000 0.000 0.000
Sc2 0.500 0.000 0.287
Tc1 0.500 0.000 0.560
As1 0.000 0.000 0.716
```

---

Entry 2:
Entry from Alexandria via LeMat-Bulk: a relaxed LaPrCdSn crystal (PBE).

M_tot = 0.0 Bohr magnetons per cell
energy relative to the elements = -0.55 eV per atom
DFT total energy = -67.4 eV for the cell shown

```
data_LaPrCdSn
_symmetry_space_group_name_H-M 'F -4 3 m'
_symmetry_Int_Tables_number 216
_symmetry_space_group_name_Hall 'F -4 2 3'
_cell_length_a 7.817
_cell_length_b 7.817
_cell_length_c 7.817
_cell_angle_alpha 90.00
_cell_angle_beta 90.00
_cell_angle_gamma 90.00
loop_
_atom_site_label
_atom_site_fract_x
_atom_site_fract_y
_atom_site_fract_z
La1 0.000 0.000 0.000
Pr1 0.000 0.000 0.500
Cd1 0.250 0.250 0.750
Sn1 0.250 0.250 0.250
```

---

Entry 3:
Entry from Alexandria via LeMat-Bulk: a relaxed RbOs crystal (PBE).

M_tot = 12.0 Bohr magnetons per cell
offset from the most stable computed form = 2209 meV/atom
energy relative to the elements = 3.12 eV per atom
DFT total energy = -23.8 eV for the cell shown

```
data_RbOs
_symmetry_space_group_name_H-M 'F -4 3 m'
_symmetry_Int_Tables_number 216
_symmetry_space_group_name_Hall 'F -4 2 3'
_cell_length_a 8.065
_cell_length_b 8.065
_cell_length_c 8.065
_cell_angle_alpha 90.00
_cell_angle_beta 90.00
_cell_angle_gamma 90.00
loop_
_atom_site_label
_atom_site_fract_x
_atom_site_fract_y
_atom_site_fract_z
Rb1 0.000 0.000 0.000
Os1 0.250 0.250 0.750
```

---

Entry 4:
Entry from Alexandria via LeMat-Bulk: a relaxed TbScCdNi crystal (PBE).

M_tot = 0.0 Bohr magnetons per cell
offset from the most stable computed form = 127 meV/atom
energy relative to the elements = -0.25 eV per atom
DFT total energy = -74.6 eV for the cell shown

```
data_TbScCdNi
_symmetry_space_group_name_H-M 'F -4 3 m'
_symmetry_Int_Tables_number 216
_symmetry_space_group_name_Hall 'F -4 2 3'
_cell_length_a 6.969
_cell_length_b 6.969
_cell_length_c 6.969
_cell_angle_alpha 90.00
_cell_angle_beta 90.00
_cell_angle_gamma 90.00
loop_
_atom_site_label
_atom_site_fract_x
_atom_site_fract_y
_atom_site_fract_z
Tb1 0.000 0.000 0.000
Sc1 0.000 0.000 0.500
Cd1 0.250 0.250 0.750
Ni1 0.250 0.250 0.250
```

---

Entry 5:
Entry from Alexandria via LeMat-Bulk: a relaxed HoZn6Ir2 crystal (PBE).

M_tot = 0.0 Bohr magnetons per cell
energy relative to the elements = -0.19 eV per atom
DFT total energy = -63.4 eV for the cell shown

```
data_HoZn6Ir2
_symmetry_space_group_name_H-M 'I m m m'
_symmetry_Int_Tables_number 71
_symmetry_space_group_name_Hall '-I 2 2'
_cell_length_a 4.389
_cell_length_b 5.636
_cell_length_c 12.060
_cell_angle_alpha 90.00
_cell_angle_beta 90.00
_cell_angle_gamma 90.00
loop_
_atom_site_label
_atom_site_fract_x
_atom_site_fract_y
_atom_site_fract_z
Ho1 0.000 0.000 0.000
Zn1 0.000 0.207 0.500
Zn2 0.000 0.249 0.299
Ir1 0.000 0.500 0.114
```

---

Entry 6:
Entry from Alexandria via LeMat-Bulk: a relaxed LiSb2Br crystal (PBE).

ΔE_f (raw) = -0.69 eV per atom
M_tot = 0.0 Bohr magnetons per cell
offset from the most stable computed form = 0 meV/atom
DFT total energy = -14.6 eV for the cell shown

```
data_LiSb2Br
_symmetry_space_group_name_H-M 'P 3 m 1'
_symmetry_Int_Tables_number 156
_cell_length_a 4.1873
_cell_length_b 4.1873
_cell_length_c 8.8329
_cell_angle_alpha 90.00
_cell_angle_beta 90.00
_cell_angle_gamma 120.00
loop_
_symmetry_equiv_pos_as_xyz
'x,y,z'
'-y,x-y,z'
'-x+y,-x,z'
'-y,-x,z'
'-x+y,y,z'
'x,x-y,z'
loop_
_atom_site_label
_atom_site_fract_x
_atom_site_fract_y
_atom_site_fract_z
Li1 0.0000 0.0000 0.0000
Sb1 0.0000 0.0000 0.6423
Sb2 0.3333 0.6667 0.4600
Br1 0.6667 0.3333 0.0551
```

---

Entry 7:
Entry from Alexandria via LeMat-Bulk: a relaxed Ac6Bi5Br crystal (PBE).

ΔE_f (raw) = -0.89 eV per atom
M_tot = 0.0 Bohr magnetons per cell
DFT total energy = -112.7 eV for the cell shown

```
data_Ac6Bi5Br
_symmetry_space_group_name_H-M 'C m m m'
_symmetry_Int_Tables_number 65
_symmetry_space_group_name_Hall '-C 2 2'
_cell_length_a 5.819
_cell_length_b 17.934
_cell_length_c 8.284
_cell_angle_alpha 90.00
_cell_angle_beta 90.00
_cell_angle_gamma 90.00
loop_
_atom_site_label
_atom_site_fract_x
_atom_site_fract_y
_atom_site_fract_z
Ac1 0.000 0.000 0.241
Ac2 0.000 0.329 0.246
Bi1 0.000 0.159 0.500
Bi2 0.000 0.167 0.000
Bi3 0.000 0.500 0.000
Br1 0.000 0.500 0.500
```

---

Entry 8:
Entry from Alexandria via LeMat-Bulk: a relaxed VFe2H3 crystal (PBE).

M_tot = 2.9 Bohr magnetons per cell
DFT total energy = -146.6 eV for the cell shown

```
data_VFe2H3
_symmetry_space_group_name_H-M 'P n m a'
_symmetry_Int_Tables_number 62
_cell_length_a 5.293
_cell_length_b 3.746
_cell_length_c 7.935
_cell_angle_alpha 90.00
_cell_angle_beta 90.00
_cell_angle_gamma 90.00
loop_
_symmetry_equiv_pos_as_xyz
'x,y,z'
'-x,-y,-z'
'-x+1/2,-y,z+1/2'
'x+1/2,y,-z+1/2'
'x+1/2,-y+1/2,-z+1/2'
'-x+1/2,y+1/2,z+1/2'
'-x,y+1/2,-z'
'x,-y+1/2,z'
loop_
_atom_site_label
_atom_site_fract_x
_atom_site_fract_y
_atom_site_fract_z
V1 0.138 0.250 0.084
Fe1 0.125 0.250 0.416
Fe2 0.126 0.250 0.754
H1 0.109 0.750 0.409
H2 0.116 0.750 0.752
H3 0.135 0.750 0.081
```

---

Entry 9:
Entry from Alexandria via LeMat-Bulk: a relaxed La3Ga4 crystal (PBE).

M_tot = 0.0 Bohr magnetons per cell
energy relative to the elements = -0.64 eV per atom
DFT total energy = -62.8 eV for the cell shown

```
data_La3Ga4
_symmetry_space_group_name_H-M 'I m m m'
_symmetry_Int_Tables_number 71
_symmetry_space_group_name_Hall '-I 2 2'
_cell_length_a 4.283
_cell_length_b 4.499
_cell_length_c 19.185
_cell_angle_alpha 90.00
_cell_angle_beta 90.00
_cell_angle_gamma 90.00
loop_
_atom_site_label
_atom_site_fract_x
_atom_site_fract_y
_atom_site_fract_z
La1 0.000 0.000 0.000
La2 0.000 0.500 0.316
Ga1 0.000 0.000 0.435
Ga2 0.000 0.500 0.140
```

---

Entry 10:
Entry from Alexandria via LeMat-Bulk: a relaxed Sr3GaAg3 crystal (PBE).

M_tot = 0.0 Bohr magnetons per cell
offset from the most stable computed form = 0 meV/atom
energy relative to the elements = -0.32 eV per atom
DFT total energy = -75.5 eV for the cell shown

```
data_Sr3GaAg3
_symmetry_space_group_name_H-M 'C 1 2/m 1'
_symmetry_Int_Tables_number 12
_cell_length_a 11.764
_cell_length_b 4.642
_cell_length_c 16.007
_cell_angle_alpha 90.00
_cell_angle_beta 109.93
_cell_angle_gamma 90.00
loop_
_symmetry_equiv_pos_as_xyz
'x,y,z'
'-x,-y,-z'
'-x,y,-z'
'x,-y,z'
'x+1/2,y+1/2,z'
'-x+1/2,-y+1/2,-z'
'-x+1/2,y+1/2,-z'
'x+1/2,-y+1/2,z'
loop_
_atom_site_label
_atom_site_fract_x
_atom_site_fract_y
_atom_site_fract_z
Sr1 0.035 0.000 0.389
Sr2 0.104 0.000 0.921
Sr3 0.249 0.500 0.764
Ga1 0.246 0.500 0.400
Ag1 0.047 0.500 0.240
Ag2 0.107 0.500 0.079
Ag3 0.140 0.500 0.541
```

---

Entry 11:
Entry from Alexandria via LeMat-Bulk: a relaxed MnAl crystal (PBE).

M_tot = 0.0 Bohr magnetons per cell
energy relative to the elements = 0.08 eV per atom
DFT total energy = -204.1 eV for the cell shown

```
data_MnAl
_symmetry_space_group_name_H-M 'F d d d'
_symmetry_Int_Tables_number 70
_cell_length_a 4.386
_cell_length_b 7.381
_cell_length_c 13.381
_cell_angle_alpha 90.00
_cell_angle_beta 90.00
_cell_angle_gamma 90.00
loop_
_symmetry_equiv_pos_as_xyz
'x,y,z'
'-x,-y,-z'
'-x+1/4,-y+1/4,z'
'x+1/4,y+1/4,-z'
'x,-y+1/4,-z+1/4'
'-x,y+1/4,z+1/4'
'-x+1/4,y,-z+1/4'
'x+1/4,-y,z+1/4'
'x,y+1/2,z+1/2'
'-x,-y+1/2,-z+1/2'
'-x+1/4,-y+3/4,z+1/2'
'x+1/4,y+3/4,-z+1/2'
'x,-y+3/4,-z+3/4'
'-x,y+3/4,z+3/4'
'-x+1/4,y+1/2,-z+3/4'
'x+1/4,-y+1/2,z+3/4'
'x+1/2,y,z+1/2'
'-x+1/2,-y,-z+1/2'
'-x+3/4,-y+1/4,z+1/2'
'x+3/4,y+1/4,-z+1/2'
'x+1/2,-y+1/4,-z+3/4'
'-x+1/2,y+1/4,z+3/4'
'-x+3/4,y,-z+3/4'
'x+3/4,-y,z+3/4'
'x+1/2,y+1/2,z'
'-x+1/2,-y+1/2,-z'
'-x+3/4,-y+3/4,z'
'x+3/4,y+3/4,-z'
'x+1/2,-y+3/4,-z+1/4'
'-x+1/2,y+3/4,z+1/4'
'-x+3/4,y+1/2,-z+1/4'
'x+3/4,-y+1/2,z+1/4'
loop_
_atom_site_label
_atom_site_fract_x
_atom_site_fract_y
_atom_site_fract_z
Mn1 0.125 0.125 0.044
Al1 0.125 0.292 0.625
```